Material: Fe2TcBr
Method: DFT, GGA-PBEsol
State: relaxed

## Properties
spin magnetization: 0.96 μB/atom
D(E_F): 3.05 states/eV per cell
calculated volume: 54.1 Å³ per cell
energy relative to the elements, uncorrected: 0.56 eV/atom

a = 2.8675 Å, b = 2.8675 Å, c = 6.5746 Å
α = 90.00°, β = 90.00°, γ = 90.00°
Closest atoms and distances in Å follow each position.
Fractional positions:
Fe 0.0000 0.0000 0.2409  4 Tc 2.57, 4 Br 2.65, 4 Fe 2.87
Fe 0.0000 0.0000 0.7591  4 Tc 2.57, 4 Br 2.65, 4 Fe 2.87
Tc 0.5000 0.5000 0.0000  8 Fe 2.57, 4 Tc 2.87
Br 0.5000 0.5000 0.5000  8 Fe 2.65, 4 Br 2.87

Material: FeTe2Br
Method: DFT, GGA-PBEsol
State: relaxed

## Properties
spin magnetization: 0.40 μB/atom
D(E_F): 4.40 states/eV per cell
calculated volume: 94.0 Å³ per cell
energy relative to the elements, uncorrected: 0.04 eV/atom

a = 9.1626 Å, b = 9.1626 Å, c = 9.1626 Å
α = 21.92°, β = 21.92°, γ = 21.92°
Closest atoms and distances in Å follow each position.
Fractional positions:
Fe 0.0000 0.0000 0.0000  3 Br 2.49, 3 Te 2.54
Te 0.2757 0.2757 0.2757  3 Fe 2.54
Te 0.5075 0.5075 0.5075  9 Te 3.39-3.48, 3 Br 3.79
Br 0.7213 0.7213 0.7213  3 Fe 2.49

Material: FeTe2Br
Method: DFT, GGA-PBEsol
State: relaxed

## Properties
spin magnetization: 0.79 μB/atom
D(E_F): 3.83 states/eV per cell
calculated volume: 90.0 Å³ per cell
energy relative to the elements, uncorrected: 0.59 eV/atom

a = 5.0305 Å, b = 5.0305 Å, c = 5.0305 Å
α = 60.00°, β = 60.00°, γ = 60.00°
Closest atoms and distances in Å follow each position.
Fractional positions:
Fe 0.0000 0.0000 0.0000  4 Br 3.08, 4 Te 3.08
Te 0.5000 0.5000 0.5000  4 Br 3.08, 4 Te 3.08
Te 0.7500 0.7500 0.7500  4 Fe 3.08, 4 Te 3.08
Br 0.2500 0.2500 0.2500  4 Fe 3.08, 4 Te 3.08

Material: Fe2TeBr
Method: DFT, GGA-PBEsol
State: relaxed

## Properties
spin magnetization: 1.33 μB/atom
D(E_F): 4.97 states/eV per cell
calculated volume: 74.6 Å³ per cell
energy relative to the elements, uncorrected: 0.51 eV/atom

a = 3.3507 Å, b = 3.3507 Å, c = 6.6470 Å
α = 90.00°, β = 90.00°, γ = 90.00°
Closest atoms and distances in Å follow each position.
Fractional positions:
Fe 0.0000 0.0000 0.1869  1 Fe 2.48, 4 Te 2.68
Fe 0.0000 0.0000 0.8131  1 Fe 2.48, 4 Te 2.68
Te 0.5000 0.5000 0.0000  8 Fe 2.68
Br 0.5000 0.5000 0.5000  8 Fe 3.15, 2 Te 3.32, 4 Br 3.35

Material: FeTeBr7
Method: DFT, GGA-PBEsol
State: relaxed

## Properties
spin magnetization: 0.56 μB/atom
calculated volume: 596.0 Å³ per cell
energy relative to the elements, uncorrected: -0.35 eV/atom

a = 6.7297 Å, b = 8.7697 Å, c = 10.4638 Å
α = 85.29°, β = 76.83°, γ = 83.08°
Closest atoms and distances in Å follow each position.
Fractional positions:
Fe 0.0000 0.0000 0.0000  4 Br 2.27-2.35
Fe 0.2619 0.4305 0.4294  4 Br 2.27-2.35
Te 0.4577 0.3763 0.9627  3 Br 2.51-2.52
Te 0.6984 0.8072 0.4164  3 Br 2.52
Br 0.0502 0.6399 0.5287  1 Fe 2.34
Br 0.1556 0.4979 0.8731  1 Te 2.52
Br 0.1707 0.3724 0.2368  1 Fe 2.35
Br 0.2199 0.2224 0.5739  1 Fe 2.27
Br 0.3434 0.0556 0.9445  1 Fe 2.35
Br 0.4184 0.9206 0.3028  1 Te 2.52
Br 0.4778 0.7948 0.6453  1 Te 2.52
Br 0.5795 0.6256 0.0026  1 Te 2.52
Br 0.6056 0.4823 0.3828  1 Fe 2.34
Br 0.7028 0.3408 0.7446  1 Te 2.51
Br 0.7853 0.2087 0.0966  1 Fe 2.34
Br 0.8353 0.0544 0.4448  1 Te 2.52
Br 0.9145 0.9242 0.8189  1 Fe 2.27
Br 0.9949 0.7875 0.1531  1 Fe 2.35

Material: Fe2TeBr
Method: DFT, GGA-PBEsol
State: relaxed

## Properties
spin magnetization: 1.48 μB/atom
D(E_F): 4.28 states/eV per cell
calculated volume: 80.7 Å³ per cell
energy relative to the elements, uncorrected: 0.67 eV/atom

a = 3.1533 Å, b = 4.0104 Å, c = 6.3780 Å
α = 90.00°, β = 90.00°, γ = 90.00°
Closest atoms and distances in Å follow each position.
Fractional positions:
Fe 0.0000 0.0000 0.0000  4 Br 2.55
Fe 0.5000 0.0000 0.5000  4 Te 2.55
Te 0.0000 0.5000 0.5000  4 Fe 2.55
Br 0.5000 0.5000 0.0000  4 Fe 2.55

Material: Th6FeBr15
Method: DFT, GGA-PBEsol
State: relaxed

## Properties
spin magnetization: 0.01 μB/atom
D(E_F): 13.17 states/eV per cell
calculated volume: 752.6 Å³ per cell
energy relative to the elements, uncorrected: -1.51 eV/atom

a = 9.9249 Å, b = 9.9249 Å, c = 9.9249 Å
α = 109.47°, β = 109.47°, γ = 109.47°
Closest atoms and distances in Å follow each position.
Fractional positions:
Th 0.0000 0.2390 0.2390  1 Fe 2.74, 5 Br 2.90-2.99
Th 0.0000 0.7610 0.7610  1 Fe 2.74, 5 Br 2.90-2.99
Th 0.2390 0.0000 0.2390  1 Fe 2.74, 5 Br 2.90-2.99
Th 0.2390 0.2390 0.0000  1 Fe 2.74, 5 Br 2.90-2.99
Th 0.7610 0.0000 0.7610  1 Fe 2.74, 5 Br 2.90-2.99
Th 0.7610 0.7610 0.0000  1 Fe 2.74, 5 Br 2.90-2.99
Fe 0.0000 0.0000 0.0000  6 Th 2.74
Br 0.0000 0.2530 0.7470  2 Th 2.90
Br 0.0000 0.5000 0.5000  2 Th 2.99
Br 0.0000 0.7470 0.2530  2 Th 2.90
Br 0.2530 0.0000 0.7470  2 Th 2.90
Br 0.2530 0.2530 0.5060  2 Th 2.90
Br 0.2530 0.5060 0.2530  2 Th 2.90
Br 0.2530 0.7470 0.0000  2 Th 2.90
Br 0.4940 0.7470 0.7470  2 Th 2.90
Br 0.5000 0.0000 0.5000  2 Th 2.99
Br 0.5000 0.5000 0.0000  2 Th 2.99
Br 0.5060 0.2530 0.2530  2 Th 2.90
Br 0.7470 0.0000 0.2530  2 Th 2.90
Br 0.7470 0.2530 0.0000  2 Th 2.90
Br 0.7470 0.4940 0.7470  2 Th 2.90
Br 0.7470 0.7470 0.4940  2 Th 2.90

Material: TlFe2Br
Method: DFT, GGA-PBEsol
State: relaxed

## Properties
spin magnetization: 1.42 μB/atom
D(E_F): 2.78 states/eV per cell
calculated volume: 75.5 Å³ per cell
energy relative to the elements, uncorrected: 0.32 eV/atom

a = 3.1618 Å, b = 3.1618 Å, c = 7.5495 Å
α = 90.00°, β = 90.00°, γ = 90.00°
Closest atoms and distances in Å follow each position.
Fractional positions:
Tl 0.0000 0.0000 0.0000  5 Fe 2.91-2.97, 4 Tl 3.16
Fe 0.0000 0.0000 0.6070  4 Fe 2.49, 4 Br 2.68
Fe 0.5000 0.5000 0.7530  4 Fe 2.49, 1 Br 2.58
Br 0.5000 0.5000 0.4117  5 Fe 2.58-2.68